[1]
Sr2TlBi4Pd3 | PBE | optimized geometry

Summary:
The volume is 28.1 Å³ per atom. The calculation puts the spin magnetization at 0.000 μB per formula unit. The space group is P-4m2. The calculation puts the raw total energy at -41.47 eV for the cell shown. As for the calculated density: 9.1 g/cm³. Its formation energy is -0.464 eV per atom.

Cell and atoms, written as POSCAR:
```
Sr2TlBi4Pd3
1.0
4.8915 0.0000 0.0000
0.0000 4.8915 0.0000
0.0000 0.0000 11.7632
Sr Tl Bi Pd
2 1 4 3
Direct
0.0000 0.5000 0.2455 Sr
0.5000 0.0000 0.7545 Sr
0.0000 0.0000 0.5000 Tl
0.0000 0.0000 0.0000 Bi
0.0000 0.5000 0.6476 Bi
0.5000 0.0000 0.3524 Bi
0.5000 0.5000 0.0000 Bi
0.0000 0.5000 0.8772 Pd
0.5000 0.0000 0.1228 Pd
0.5000 0.5000 0.5000 Pd
```

---

[2]
Ca5Rh3 | PBE | optimized geometry

Summary:
The volume is 23.4 Å³ per atom. The value obtained for the relative energy among the computed polymorphs is 0.69 eV/f.u. The calculation puts the spin magnetization at 0.000 μB per formula unit. The space group is Cmmm. The calculation puts the raw total energy at -33.58 eV for the cell shown. As for the calculated density: 4.5 g/cm³. Its formation energy is -0.190 eV per atom.

Cell and atoms, written as POSCAR:
```
Ca5Rh3
1.0
3.8581 -5.1322 0.0000
3.8581 5.1322 0.0000
0.0000 0.0000 4.7187
Ca Rh
5 3
Direct
0.0000 0.0000 0.0000 Ca
0.0000 0.5000 0.0000 Ca
0.2954 0.2954 0.5000 Ca
0.5000 0.0000 0.0000 Ca
0.7046 0.7046 0.5000 Ca
0.2073 0.7927 0.5000 Rh
0.5000 0.5000 0.0000 Rh
0.7927 0.2073 0.5000 Rh
```

---

[3]
GdMgGaPb | PBE | optimized geometry

Summary:
The volume is 24.9 Å³ per atom. The calculation puts the spin magnetization at 6.883 μB per formula unit. The space group is F-43m. The calculation puts the raw total energy at -23.50 eV for the cell shown. As for the calculated density: 7.7 g/cm³. Its formation energy is -0.273 eV per atom.

Cell and atoms, written as POSCAR:
```
GdMgGaPb
1.0
0.0000 3.6775 3.6775
3.6775 0.0000 3.6775
3.6775 3.6775 0.0000
Gd Mg Ga Pb
1 1 1 1
Direct
0.0000 0.0000 0.0000 Gd
0.5000 0.5000 0.5000 Mg
0.7500 0.7500 0.7500 Ga
0.2500 0.2500 0.2500 Pb
```

---

[4]
K3Cu2HgBr9 | PBE | optimized geometry

Summary:
The volume is 30.0 Å³ per atom. Its raw formation energy is -0.8522 eV per atom. The calculation puts the spin magnetization at 0.000 μB per formula unit. The space group is P-3m1. The calculation puts the raw total energy at -39.63 eV for the cell shown. As for the calculated density: 4.3 g/cm³.

Cell and atoms, written as POSCAR:
```
K3Cu2HgBr9
1.0
7.4877 0.0000 0.0000
-3.7439 6.4845 0.0000
0.0000 0.0000 9.2680
K Cu Hg Br
3 2 1 9
Direct
0.0000 0.0000 0.0000 K
0.3333 0.6667 0.6781 K
0.6667 0.3333 0.3219 K
0.3333 0.6667 0.1554 Cu
0.6667 0.3333 0.8446 Cu
0.0000 0.0000 0.5000 Hg
0.0000 0.5000 0.0000 Br
0.1725 0.3450 0.3186 Br
0.1725 0.8275 0.3186 Br
0.3450 0.1725 0.6814 Br
0.5000 0.0000 0.0000 Br
0.5000 0.5000 0.0000 Br
0.6550 0.8275 0.3186 Br
0.8275 0.1725 0.6814 Br
0.8275 0.6550 0.6814 Br
```

---

[5]
NpTl2InBr8 | PBE | optimized geometry

Summary:
The volume is 38.6 Å³ per atom. Its raw formation energy is -0.9722 eV per atom. The calculation puts the spin magnetization at 4.004 μB per formula unit. The space group is P-1. The calculation puts the raw total energy at -45.46 eV for the cell shown. As for the calculated density: 5.0 g/cm³.

Cell and atoms, written as POSCAR:
```
NpTl2InBr8
1.0
7.0168 0.0000 0.0000
-0.2776 7.5572 0.0000
-0.0515 -0.0322 8.7360
Np Tl In Br
1 2 1 8
Direct
0.0000 0.0000 0.0000 Np
0.4993 0.5012 0.7416 Tl
0.5007 0.4988 0.2584 Tl
0.0000 0.0000 0.5000 In
0.1993 0.3012 0.4986 Br
0.2233 0.3207 0.9976 Br
0.2249 0.8706 0.2552 Br
0.2279 0.8749 0.7461 Br
0.7721 0.1251 0.2539 Br
0.7751 0.1294 0.7448 Br
0.7767 0.6793 0.0024 Br
0.8007 0.6988 0.5014 Br
```

---

[6]
CsAlTl2Hg | PBE | optimized geometry

Summary:
The volume is 36.0 Å³ per atom. The calculation puts the spin magnetization at 0.000 μB per formula unit. The space group is P4/mmm. The calculation puts the raw total energy at -9.37 eV for the cell shown. As for the calculated density: 7.1 g/cm³. Its formation energy is 0.052 eV per atom.

Cell and atoms, written as POSCAR:
```
CsAlTl2Hg
1.0
5.7908 0.0000 0.0000
0.0000 5.7908 0.0000
0.0000 0.0000 5.3674
Cs Al Tl Hg
1 1 2 1
Direct
0.0000 0.0000 0.0000 Cs
0.5000 0.5000 0.5000 Al
0.0000 0.5000 0.5000 Tl
0.5000 0.0000 0.5000 Tl
0.5000 0.5000 0.0000 Hg
```

---

- Among the records above, which one has the highest volume?
  NpTl2InBr8